Density functional theory data (PBE) for a relaxed NdGd2S crystal.

a b c (Å): 3.7085 3.7085 30.7357
angles (deg): 90.00 90.00 120.00
Closest atoms and distances in Å follow each position.
Fractional coordinates of all 12 atoms:
Nd 0.0000 0.0000 0.0000  2 Gd 3.46, 6 Nd 3.71
Nd 0.3333 0.6667 0.6667  2 Gd 3.46, 6 Nd 3.71
Nd 0.6667 0.3333 0.3333  2 Gd 3.46, 6 Nd 3.71
Gd 0.0000 0.0000 0.1126  3 S 2.71
Gd 0.0000 0.0000 0.8874  3 S 2.71
Gd 0.3333 0.6667 0.5540  3 S 2.71
Gd 0.3333 0.6667 0.7793  3 S 2.71
Gd 0.6667 0.3333 0.2207  3 S 2.71
Gd 0.6667 0.3333 0.4460  3 S 2.71
S 0.0000 0.0000 0.5000  6 Gd 2.71
S 0.3333 0.6667 0.1667  6 Gd 2.71
S 0.6667 0.3333 0.8333  6 Gd 2.71

Computed properties:
**DFT total energy**: -120.52 eV for the cell shown
**Space group**: R-3m
**Crystal system**: trigonal